VASP calculation (PBE with a Hubbard U) on Fe3P6H14N3O24 after structural relaxation.

CIF file:
```
data_Fe3P6H14N3O24
_chemical_formula_sum 'Fe3 P6 H14 N3 O24'
_cell_length_a 7.342
_cell_length_b 9.071
_cell_length_c 9.469
_cell_angle_alpha 64.44
_cell_angle_beta 71.00
_cell_angle_gamma 68.98
_space_group_name_H-M_alt 'P 1'
_space_group_IT_number 1
loop_
_space_group_symop_operation_xyz
'x,y,z'
loop_
_atom_site_label
_atom_site_type_symbol
_atom_site_fract_x
_atom_site_fract_y
_atom_site_fract_z
Fe1 Fe 0.000 0.000 0.000
Fe2 Fe 0.209 0.215 0.447
Fe3 Fe 0.791 0.785 0.553
P1 P 0.076 0.620 0.270
P2 P 0.091 0.846 0.718
P3 P 0.451 0.043 0.731
P4 P 0.549 0.957 0.269
P5 P 0.909 0.154 0.282
P6 P 0.924 0.380 0.730
H1 H 0.084 0.540 0.727
H2 H 0.278 0.968 0.200
H3 H 0.310 0.316 0.899
H4 H 0.356 0.482 0.901
H5 H 0.369 0.298 0.066
H6 H 0.394 0.764 0.761
H7 H 0.456 0.694 0.101
H8 H 0.544 0.306 0.899
H9 H 0.606 0.236 0.239
H10 H 0.631 0.702 0.934
H11 H 0.644 0.518 0.099
H12 H 0.690 0.684 0.101
H13 H 0.722 0.032 0.800
H14 H 0.916 0.460 0.273
N1 N 0.394 0.351 0.942
N2 N 0.500 0.500 0.500
N3 N 0.606 0.649 0.058
O1 O 0.006 0.259 0.312
O2 O 0.012 0.683 0.410
O3 O 0.056 0.081 0.153
O4 O 0.106 0.414 0.758
O5 O 0.151 0.759 0.118
O6 O 0.163 0.985 0.569
O7 O 0.241 0.453 0.300
O8 O 0.261 0.033 0.861
O9 O 0.280 0.712 0.790
O10 O 0.408 0.170 0.567
O11 O 0.413 0.893 0.221
O12 O 0.436 0.139 0.273
O13 O 0.564 0.861 0.727
O14 O 0.587 0.107 0.779
O15 O 0.592 0.830 0.433
O16 O 0.720 0.288 0.210
O17 O 0.739 0.967 0.139
O18 O 0.759 0.547 0.700
O19 O 0.837 0.015 0.431
O20 O 0.849 0.241 0.882
O21 O 0.894 0.586 0.242
O22 O 0.944 0.919 0.847
O23 O 0.988 0.317 0.590
O24 O 0.994 0.741 0.688
```

Output
- energy (eV per atom) = -6.199
- magnetization (μB/cell) = 18.643